This record from Alexandria describes an optimized crystal structure of VSb2TeF. The functional is PBE with a Hubbard U.

a b c (Å): 5.0759 5.0759 5.0712
angles (deg): 90.00 90.00 90.00
Element x y z (fractional)
V  0.0000  0.0000  0.0000
Sb  0.0000  0.5000  0.0000
Sb  0.5000  0.0000  0.0000
Te  0.0000  0.0000  0.5000
F  0.5000  0.5000  0.5000

Summary:
SG: P4/mmm (123)
Raw total energy in eV per formula unit: -19.61